A crystal of InHgPb relaxed with PBEsol. Source: Alexandria, functional meta-GGA SCAN.

abc: 5.1842 5.1842 3.3573
angles: 90.00 90.00 120.00
Closest atoms and distances in Å follow each position.
Positions (direct):
In 0.0000 0.0000 0.0000  3 Hg 2.99
Hg 0.6667 0.3333 0.9791  3 In 2.99
Pb 0.3333 0.6667 0.4950  2 Pb 3.36, 6 Hg 3.41-3.46, 6 In 3.42-3.44

Output
DOS(E_F)	0.8	states/eV per cell
final energy	-177.23	eV/cell
excess energy over the best structure of this formula in the dataset	0	meV per atom